<i>
Computed, not measured: an optimized crystal structure of CaY2Cu at the PBE level of DFT.

Cell: 10.2346 10.2346 10.2346 Å, 21.30 21.30 21.30°
Last column: nearest neighbours and their distance in Å.
Fractional positions:
Ca  0.0000  0.0000  0.0000  6 Ca 3.78, 6 Y 3.86
Y  0.2273  0.2273  0.2273  3 Cu 2.84
Y  0.7727  0.7727  0.7727  3 Cu 2.84
Cu  0.5000  0.5000  0.5000  6 Y 2.84

Properties
- DOS at the Fermi energy (states/eV/atom) = 1.652
- calculated density (g cm⁻³) = 3.77
- magnetization (μB/cell) = 0.00

=====

<ii>
Computed, not measured: an optimized crystal structure of CaY2Cu at the PBE level of DFT.

Cell: 6.4153 6.4153 3.4765 Å, 102.26 102.26 119.83°
Last column: nearest neighbours and their distance in Å.
Fractional positions:
Ca  0.0000  0.0000  0.0000  4 Cu 3.22-3.60, 4 Y 3.31, 2 Ca 3.48
Y  0.0000  0.5000  0.5000  6 Y 3.22-3.60, 2 Cu 3.31, 2 Ca 3.31
Y  0.5000  0.0000  0.5000  6 Y 3.22-3.60, 2 Cu 3.31, 2 Ca 3.31
Cu  0.5000  0.5000  0.0000  4 Ca 3.22-3.60, 4 Y 3.31, 2 Cu 3.48

Properties
- DOS at the Fermi energy (states/eV/atom) = 1.206
- calculated density (g cm⁻³) = 4.16
- magnetization (μB/cell) = 0.00

=====

<i> (220 meV per atom below the next structure)

=====

<i>
Computed, not measured: an optimized crystal structure of CaY2Cu at the PBE level of DFT.

Cell: 6.1581 6.1581 6.1581 Å, 135.95 135.95 64.05°
Last column: nearest neighbours and their distance in Å.
Fractional positions:
Ca  0.0000  0.0000  0.0000  4 Cu 3.27, 8 Y 3.49
Y  0.2500  0.7500  0.5000  4 Y 3.27, 4 Cu 3.49, 4 Ca 3.49
Y  0.7500  0.2500  0.5000  4 Y 3.27, 4 Cu 3.49, 4 Ca 3.49
Cu  0.5000  0.5000  0.0000  4 Ca 3.27, 8 Y 3.49

Properties
- DOS at the Fermi energy (states/eV/atom) = 1.479
- calculated density (g cm⁻³) = 4.20
- magnetization (μB/cell) = 0.00

=====

<ii>
Computed, not measured: an optimized crystal structure of CaY2Cu at the PBE level of DFT.

Cell: 6.8878 6.8878 6.8878 Å, 102.62 102.62 124.26°
Last column: nearest neighbours and their distance in Å.
Fractional positions:
Ca  0.0000  0.0000  0.0000  2 Cu 3.22, 4 Y 3.58
Ca  0.7500  0.2500  0.5000  2 Cu 3.22, 4 Y 3.58
Y  0.1980  0.6250  0.0730  2 Cu 2.76
Y  0.3750  0.4480  0.5730  2 Cu 2.76
Y  0.5520  0.1250  0.9270  2 Cu 2.76
Y  0.8750  0.8020  0.4270  2 Cu 2.76
Cu  0.2500  0.7500  0.5000  4 Y 2.76
Cu  0.5000  0.5000  0.0000  4 Y 2.76

Properties
- DOS at the Fermi energy (states/eV/atom) = 1.657
- calculated density (g cm⁻³) = 3.91
- magnetization (μB/cell) = 0.00

=====

<ii> (106 meV per atom below the next structure)

=====

<i>
Computed, not measured: an optimized crystal structure of CaYCu3 at the PBE level of DFT.

Cell: 5.1007 5.1007 5.1007 Å, 90.00 90.00 90.00°
Last column: nearest neighbours and their distance in Å.
Fractional positions:
Ca  0.0000  0.0000  0.0000  12 Cu 3.61
Y  0.5000  0.5000  0.5000  6 Cu 2.55
Cu  0.0000  0.5000  0.5000  2 Y 2.55
Cu  0.5000  0.0000  0.5000  2 Y 2.55
Cu  0.5000  0.5000  0.0000  2 Y 2.55

Properties
- DOS at the Fermi energy (states/eV/atom) = 0.499
- calculated density (g cm⁻³) = 4.00
- magnetization (μB/cell) = 0.00

=====

<ii>
Computed, not measured: an optimized crystal structure of CaYCu3 at the PBE level of DFT.

Cell: 12.9139 12.9139 4.2875 Å, 90.00 90.00 163.15°
Last column: nearest neighbours and their distance in Å.
Fractional positions:
Ca  0.2024  0.7976  0.7500  6 Cu 2.92-3.02
Ca  0.7976  0.2024  0.2500  6 Cu 2.92-3.02
Y  0.0691  0.9309  0.2500  12 Cu 3.00-3.10
Y  0.9309  0.0691  0.7500  12 Cu 3.00-3.10
Cu  0.3361  0.6639  0.7500  2 Cu 2.48
Cu  0.3846  0.6154  0.2500  3 Cu 2.39-2.48
Cu  0.4780  0.5220  0.2500  3 Cu 2.39-2.42
Cu  0.5220  0.4780  0.7500  3 Cu 2.39-2.42
Cu  0.6154  0.3846  0.7500  3 Cu 2.39-2.48
Cu  0.6639  0.3361  0.2500  2 Cu 2.48

Properties
- DOS at the Fermi energy (states/eV/atom) = 0.543
- calculated density (g cm⁻³) = 5.12
- magnetization (μB/cell) = 0.00

=====

<iii>
Computed, not measured: an optimized crystal structure of CaYCu3 at the PBE level of DFT.

Cell: 4.8821 4.8821 4.8821 Å, 90.00 90.00 90.00°
Last column: nearest neighbours and their distance in Å.
Fractional positions:
Ca  0.0000  0.0000  0.0000  6 Cu 2.44
Y  0.5000  0.5000  0.5000  12 Cu 3.45
Cu  0.0000  0.0000  0.5000  2 Ca 2.44
Cu  0.0000  0.5000  0.0000  2 Ca 2.44
Cu  0.5000  0.0000  0.0000  2 Ca 2.44

Properties
- DOS at the Fermi energy (states/eV/atom) = 0.575
- calculated density (g cm⁻³) = 4.56
- magnetization (μB/cell) = 0.00

=====

<ii> (759 meV per atom below the next structure)